No. 1
Pr3Hg4Pb: optimized geometry, GGA-PBE.

Calculated values
- Formation enthalpy at 0 K: -0.43 eV/atom

abc: 9.684 9.684 9.684
angles: 32.07 32.07 32.07
Positions (direct):
Pr  0.000  0.000  0.000
Pr  0.241  0.241  0.241
Pr  0.759  0.759  0.759
Hg  0.119  0.119  0.119
Hg  0.370  0.370  0.370
Hg  0.630  0.630  0.630
Hg  0.881  0.881  0.881
Pb  0.500  0.500  0.500

---

No. 2
Pr4HgPb3: optimized geometry, GGA-PBE.

Calculated values
- Formation enthalpy at 0 K: -0.51 eV/atom

abc: 9.707 9.707 9.707
angles: 148.96 148.96 44.48
Positions (direct):
Pr  0.123  0.623  0.500
Pr  0.377  0.877  0.500
Pr  0.623  0.123  0.500
Pr  0.877  0.377  0.500
Hg  0.000  0.000  0.000
Pb  0.249  0.249  0.000
Pb  0.500  0.500  0.000
Pb  0.751  0.751  0.000

---

No. 3
PrHg6Pb: optimized geometry, GGA-PBE.

Calculated values
- Formation enthalpy at 0 K: -0.13 eV/atom

abc: 5.098 5.098 9.620
angles: 90.19 90.19 117.02
Positions (direct):
Pr  0.000  0.000  0.000
Hg  0.001  0.001  0.661
Hg  0.330  0.670  0.171
Hg  0.330  0.670  0.829
Hg  0.670  0.330  0.171
Hg  0.670  0.330  0.829
Hg  0.999  0.999  0.339
Pb  0.500  0.500  0.500

---

No. 4
Pr3HgPb: optimized geometry, GGA-PBE.

Calculated values
- Formation enthalpy at 0 K: -0.34 eV/atom

abc: 8.540 8.540 9.176
angles: 90.00 90.00 86.03
Positions (direct):
Pr  0.013  0.802  0.581
Pr  0.071  0.429  0.822
Pr  0.198  0.987  0.919
Pr  0.301  0.511  0.419
Pr  0.429  0.071  0.322
Pr  0.489  0.699  0.081
Pr  0.511  0.301  0.919
Pr  0.571  0.929  0.678
Pr  0.699  0.489  0.581
Pr  0.802  0.013  0.081
Pr  0.929  0.571  0.178
Pr  0.987  0.198  0.419
Hg  0.199  0.299  0.132
Hg  0.299  0.199  0.632
Hg  0.701  0.801  0.368
Hg  0.801  0.701  0.868
Pb  0.148  0.852  0.250
Pb  0.353  0.647  0.750
Pb  0.647  0.353  0.250
Pb  0.852  0.148  0.750

---

No. 5
PrHgPb3: optimized geometry, GGA-PBE.

Calculated values
- Formation enthalpy at 0 K: -0.19 eV/atom

abc: 3.731 8.628 9.875
angles: 106.77 90.46 93.91
Positions (direct):
Pr  0.001  0.010  0.250
Pr  0.999  0.990  0.750
Hg  0.194  0.405  0.355
Hg  0.806  0.595  0.645
Pb  0.244  0.397  0.842
Pb  0.413  0.801  0.453
Pb  0.439  0.800  0.949
Pb  0.561  0.200  0.051
Pb  0.587  0.199  0.547
Pb  0.756  0.603  0.158

---

No. 6
Pr4HgPb: optimized geometry, GGA-PBE.

Calculated values
- Formation enthalpy at 0 K: -0.18 eV/atom

abc: 5.345 5.345 7.590
angles: 90.00 90.00 90.00
Positions (direct):
Pr  0.000  0.500  0.238
Pr  0.000  0.500  0.762
Pr  0.500  0.000  0.238
Pr  0.500  0.000  0.762
Hg  0.000  0.000  0.000
Pb  0.500  0.500  0.500

---

No. 7
Pr4Hg2Pb: optimized geometry, GGA-PBE.

Calculated values
- Formation enthalpy at 0 K: -0.32 eV/atom

abc: 9.328 9.328 9.328
angles: 33.86 33.86 33.86
Positions (direct):
Pr  0.118  0.118  0.118
Pr  0.370  0.370  0.370
Pr  0.630  0.630  0.630
Pr  0.882  0.882  0.882
Hg  0.250  0.250  0.250
Hg  0.750  0.750  0.750
Pb  0.500  0.500  0.500

---

No. 8
PrHg6Pb: optimized geometry, GGA-PBE.

Calculated values
- Formation enthalpy at 0 K: -0.18 eV/atom

abc: 5.173 6.868 6.868
angles: 59.79 90.00 90.00
Positions (direct):
Pr  0.000  0.000  0.000
Hg  0.000  0.019  0.491
Hg  0.000  0.491  0.019
Hg  0.000  0.491  0.491
Hg  0.500  0.167  0.167
Hg  0.500  0.168  0.664
Hg  0.500  0.664  0.168
Pb  0.500  0.667  0.667

---

No. 9
Pr12Hg6Pb: optimized geometry, GGA-PBE.

Calculated values
- Formation enthalpy at 0 K: -0.27 eV/atom

abc: 9.313 9.313 9.313
angles: 111.18 111.18 111.18
Positions (direct):
Pr  0.085  0.167  0.729
Pr  0.167  0.729  0.085
Pr  0.189  0.350  0.479
Pr  0.271  0.915  0.833
Pr  0.350  0.479  0.189
Pr  0.479  0.189  0.350
Pr  0.521  0.811  0.650
Pr  0.650  0.521  0.811
Pr  0.729  0.085  0.167
Pr  0.811  0.650  0.521
Pr  0.833  0.271  0.915
Pr  0.915  0.833  0.271
Hg  0.073  0.590  0.354
Hg  0.354  0.073  0.590
Hg  0.410  0.646  0.927
Hg  0.590  0.354  0.073
Hg  0.646  0.927  0.410
Hg  0.927  0.410  0.646
Pb  0.000  0.000  0.000

---

No. 10
Pr4Hg7Pb: optimized geometry, GGA-PBE.

Calculated values
- Formation enthalpy at 0 K: -0.27 eV/atom

abc: 7.184 7.184 11.369
angles: 119.64 119.64 46.59
Positions (direct):
Pr  0.084  0.084  0.278
Pr  0.247  0.247  0.831
Pr  0.753  0.753  0.169
Pr  0.916  0.916  0.722
Hg  0.000  0.000  0.500
Hg  0.136  0.136  0.034
Hg  0.301  0.301  0.588
Hg  0.424  0.424  0.163
Hg  0.576  0.576  0.837
Hg  0.699  0.699  0.412
Hg  0.864  0.864  0.966
Pb  0.500  0.500  0.500

---

No. 11
Pr6HgPb5: optimized geometry, GGA-PBE.

Calculated values
- Formation enthalpy at 0 K: -0.51 eV/atom

abc: 8.226 8.226 9.020
angles: 90.00 90.00 143.13
Positions (direct):
Pr  0.000  0.000  0.245
Pr  0.000  0.000  0.755
Pr  0.334  0.666  0.246
Pr  0.334  0.666  0.754
Pr  0.666  0.334  0.246
Pr  0.666  0.334  0.754
Hg  0.500  0.500  0.000
Pb  0.164  0.836  0.000
Pb  0.167  0.833  0.500
Pb  0.500  0.500  0.500
Pb  0.833  0.167  0.500
Pb  0.836  0.164  0.000

---

No. 12
Pr2Hg2Pb: optimized geometry, GGA-PBE.

Calculated values
- Formation enthalpy at 0 K: -0.38 eV/atom

abc: 5.688 5.688 6.419
angles: 94.24 94.24 49.40
Positions (direct):
Pr  0.199  0.199  0.219
Pr  0.801  0.801  0.781
Hg  0.103  0.103  0.683
Hg  0.897  0.897  0.317
Pb  0.500  0.500  0.000

---

No. 13
Pr2HgPb2: optimized geometry, GGA-PBE.

Calculated values
- Formation enthalpy at 0 K: -0.47 eV/atom

abc: 6.485 6.485 11.739
angles: 112.35 112.35 42.72
Positions (direct):
Pr  0.002  0.002  0.323
Pr  0.178  0.178  0.102
Pr  0.822  0.822  0.898
Pr  0.998  0.998  0.677
Hg  0.278  0.278  0.700
Hg  0.722  0.722  0.300
Pb  0.351  0.351  0.458
Pb  0.450  0.450  0.110
Pb  0.550  0.550  0.890
Pb  0.649  0.649  0.542

---

No. 14
Pr2Hg6Pb: optimized geometry, GGA-PBE.

Calculated values
- Formation enthalpy at 0 K: -0.25 eV/atom

abc: 6.837 6.837 6.007
angles: 90.07 90.07 59.98
Positions (direct):
Pr  0.167  0.167  0.316
Pr  0.833  0.833  0.684
Hg  0.127  0.686  0.170
Hg  0.314  0.314  0.828
Hg  0.314  0.873  0.830
Hg  0.686  0.127  0.170
Hg  0.686  0.686  0.172
Hg  0.873  0.314  0.830
Pb  0.500  0.500  0.500

---

No. 15
PrHgPtPb: optimized geometry, GGA-PBE.

Calculated values
- Formation enthalpy at 0 K: -0.52 eV/atom

abc: 5.171 5.171 5.171
angles: 60.00 60.00 60.00
Positions (direct):
Pr  0.000  0.000  0.000
Hg  0.750  0.750  0.750
Pt  0.250  0.250  0.250
Pb  0.500  0.500  0.500

---

No. 16
PrHgRhPb: optimized geometry, GGA-PBE.

Calculated values
- Formation enthalpy at 0 K: -0.30 eV/atom

abc: 5.126 5.126 5.126
angles: 60.00 60.00 60.00
Positions (direct):
Pr  0.000  0.000  0.000
Hg  0.250  0.250  0.250
Rh  0.750  0.750  0.750
Pb  0.500  0.500  0.500

---

No. 17
PrScHgPb: optimized geometry, GGA-PBE.

Calculated values
- Formation enthalpy at 0 K: -0.41 eV/atom

abc: 5.323 5.323 5.323
angles: 60.00 60.00 60.00
Positions (direct):
Pr  0.000  0.000  0.000
Sc  0.500  0.500  0.500
Hg  0.750  0.750  0.750
Pb  0.250  0.250  0.250

---

No. 18
PrSmHgPb: optimized geometry, GGA-PBE.

Calculated values
- Formation enthalpy at 0 K: -0.50 eV/atom

abc: 5.486 5.486 5.486
angles: 60.00 60.00 60.00
Positions (direct):
Pr  0.000  0.000  0.000
Sm  0.500  0.500  0.500
Hg  0.250  0.250  0.250
Pb  0.750  0.750  0.750

---

No. 19
PrSnHgPb: optimized geometry, GGA-PBE.

Calculated values
- Formation enthalpy at 0 K: -0.45 eV/atom

abc: 4.658 4.846 4.867
angles: 90.00 90.00 90.00
Positions (direct):
Pr  0.000  0.000  0.000
Sn  0.500  0.500  0.000
Hg  0.000  0.500  0.500
Pb  0.500  0.000  0.500

---

No. 20
PrSnHgPb: optimized geometry, GGA-PBE.

Calculated values
- Formation enthalpy at 0 K: -0.31 eV/atom

abc: 5.488 5.488 5.488
angles: 60.00 60.00 60.00
Positions (direct):
Pr  0.000  0.000  0.000
Sn  0.250  0.250  0.250
Hg  0.750  0.750  0.750
Pb  0.500  0.500  0.500

---

Here are the calculated ρ numbers, same order: 10.5 9.5 11.6 8.3 10.5 7.4 8.7 12.2 8.9 10.1 9.4 9.4 9.7 11.6 12.6 11.4 9.2 9.9 10.1 9.5 (Mg/m³).